No. 1
Here is an optimized crystal structure of YZrBr2 from the Alexandria database. Energies are from PBEsol.

Properties
V   23.57 Å³ per atom
SG   P2/m, No. 10
VASP energy   -5.60 eV per atom
Formation energy (no corrections)   -691 meV/atom
Energy above the most stable polymorph in this dataset   49 meV per atom
Total magnetic moment   0.00 μB per atom

Cell lengths 3.461, 4.635, 5.882 Å; angles 90.00, 92.30, 90.00 degrees
Sites, in units of the cell vectors:
Y 0.000 0.000 0.000
Zr 0.500 0.000 0.500
Br 0.308 0.500 0.257
Br 0.692 0.500 0.743

No. 2
Here is an optimized crystal structure of WSe2 from the Alexandria database. Energies are from PBEsol.

Properties
V   20.24 Å³ per atom
SG   P6_3/mmc, No. 194
VASP energy   -7.76 eV per atom
Formation energy (no corrections)   -588 meV/atom
Total magnetic moment   0.00 μB per atom

Cell lengths 3.270, 3.270, 13.113 Å; angles 90.00, 90.00, 120.00 degrees
Sites, in units of the cell vectors:
W 0.333 0.667 0.250
W 0.667 0.333 0.750
Se 0.333 0.667 0.622
Se 0.333 0.667 0.878
Se 0.667 0.333 0.122
Se 0.667 0.333 0.378